(1)
Material: HfAg2Sb
Method: DFT, PBE
State: relaxed

mass density: 9.66 g cm⁻³
raw formation energy: 349 meV per atom

The structure in POSCAR format:
```
HfAg2Sb
1.0
3.061 0.000 0.000
1.531 2.651 0.000
1.531 0.884 10.933
Ag Sb Hf
2 1 1
direct
0.085 0.085 0.746
0.915 0.915 0.254
0.500 0.500 0.500
0.000 0.000 0.000
```

***

(2)
Material: Hf2AgSb2
Method: DFT, PBE
State: relaxed

relative energy among the computed polymorphs: 29.9 meV/atom
mass density: 10.35 g cm⁻³
raw formation energy: -206 meV per atom

The structure in POSCAR format:
```
Hf2AgSb2
1.0
7.834 0.000 0.000
0.000 7.834 0.000
0.000 0.000 3.705
Ag Sb Hf
2 4 4
direct
0.500 0.500 0.000
0.000 0.000 0.000
0.654 0.154 0.000
0.846 0.654 0.000
0.154 0.346 0.000
0.346 0.846 0.000
0.358 0.142 0.500
0.858 0.358 0.500
0.642 0.858 0.500
0.142 0.642 0.500
```

***

(3)
Material: Hf12AgSb6
Method: DFT, PBE
State: relaxed

mass density: 11.71 g cm⁻³
raw formation energy: -173 meV per atom

The structure in POSCAR format:
```
Hf12AgSb6
1.0
-2.634 -6.762 -1.919
4.682 -3.024 5.027
-5.357 0.840 5.191
Hf Sb Ag
12 6 1
direct
0.475 0.567 0.196
0.371 0.049 0.139
0.861 0.629 0.951
0.525 0.433 0.804
0.567 0.196 0.475
0.629 0.951 0.861
0.433 0.804 0.525
0.804 0.525 0.433
0.951 0.861 0.629
0.139 0.371 0.049
0.196 0.475 0.567
0.049 0.139 0.371
0.123 0.725 0.285
0.275 0.715 0.877
0.285 0.123 0.725
0.715 0.877 0.275
0.877 0.275 0.715
0.725 0.285 0.123
0.000 0.000 0.000
```

***

(4)
Material: HfAgSb2
Method: DFT, PBE
State: relaxed

mass density: 8.99 g cm⁻³
raw formation energy: 97 meV per atom

The structure in POSCAR format:
```
HfAgSb2
1.0
7.848 0.000 0.000
0.000 7.848 0.000
3.924 3.924 3.177
Sb Ag Hf
4 2 2
direct
0.617 0.125 0.250
0.875 0.867 0.750
0.133 0.625 0.250
0.375 0.383 0.750
0.500 0.500 0.000
0.250 0.750 0.500
0.000 0.000 0.000
0.750 0.250 0.500
```

***

(5)
Material: Hf2AgSb2
Method: DFT, PBE
State: relaxed

relative energy among the computed polymorphs: 0.0 meV/atom
mass density: 10.20 g cm⁻³
raw formation energy: -236 meV per atom

The structure in POSCAR format:
```
Hf2AgSb2
1.0
-1.399 -1.839 7.431
7.639 -0.826 1.234
0.243 3.679 0.956
Hf Sb Ag
4 4 2
direct
0.358 0.858 0.000
0.858 0.642 0.000
0.642 0.142 0.000
0.142 0.358 0.000
0.344 0.156 0.500
0.844 0.344 0.500
0.156 0.656 0.500
0.656 0.844 0.500
0.000 0.000 0.000
0.500 0.500 0.000
```

***

(6)
Material: Hf8AgSb2
Method: DFT, PBE
State: relaxed

mass density: 10.43 g cm⁻³
raw formation energy: 227 meV per atom

The structure in POSCAR format:
```
Hf8AgSb2
1.0
-5.124 -1.578 -1.899
0.433 -4.059 6.455
-1.898 3.324 6.609
Hf Sb Ag
8 2 1
direct
0.791 0.585 0.197
0.730 0.583 0.583
0.077 0.798 0.798
0.209 0.803 0.415
0.270 0.417 0.417
0.923 0.202 0.202
0.791 0.197 0.585
0.209 0.415 0.803
0.443 0.218 0.218
0.557 0.782 0.782
0.000 0.000 0.000
```